BaCo | PBE | optimized geometry

abc: 8.879 8.170 5.707
angles: 77.32 63.85 38.83
Sites, in units of the cell vectors:
1 Ba 0.054 0.696 0.054
2 Ba 0.304 0.946 0.304
3 Ba 0.696 0.054 0.696
4 Ba 0.946 0.304 0.946
5 Co 0.303 0.303 0.447
6 Co 0.447 0.447 0.303
7 Co 0.553 0.553 0.697
8 Co 0.697 0.697 0.553

Results
Calculated volume   28.4 Å³ per atom
ΔE_f   622.7 meV per atom
Total magnetic moment   0.57 μB/atom

---

Ba8Co | PBE | optimized geometry

abc: 10.655 10.655 10.655
angles: 92.57 92.57 155.55
Sites, in units of the cell vectors:
1 Ba 0.000 0.335 0.335
2 Ba 0.000 0.665 0.665
3 Ba 0.335 0.000 0.335
4 Ba 0.365 0.365 0.731
5 Ba 0.365 0.635 0.000
6 Ba 0.635 0.365 0.000
7 Ba 0.635 0.635 0.269
8 Ba 0.665 0.000 0.665
9 Co 0.000 0.000 0.000

Results
Calculated volume   54.4 Å³ per atom
ΔE_f   253.8 meV per atom
Total magnetic moment   0.06 μB/atom

---

BaCo | PBE | optimized geometry

abc: 3.486 3.486 9.328
angles: 90.00 90.00 90.00
Sites, in units of the cell vectors:
1 Ba 0.250 0.250 0.216
2 Ba 0.750 0.750 0.784
3 Co 0.250 0.250 0.522
4 Co 0.750 0.750 0.478

Results
Calculated volume   28.3 Å³ per atom
ΔE_f   497.7 meV per atom
Total magnetic moment   0.77 μB/atom